Computed, not measured: a geometry-optimized CsZn2Sn structure at the PBE level of DFT.

Cell lengths 5.8647, 5.8647, 18.0130 Å; angles 90.00, 90.00, 90.00 degrees
Last column: nearest neighbours and their distance in Å.
Atoms (fractional coordinates):
Cs1 0.0000 0.2500 0.3750  8 Zn 3.98, 4 Sn 4.15
Cs2 0.0000 0.7500 0.6250  8 Zn 3.98, 4 Sn 4.15
Cs3 0.5000 0.2500 0.1250  8 Zn 3.98, 4 Sn 4.15
Cs4 0.5000 0.7500 0.8750  8 Zn 3.98, 4 Sn 4.15
Zn1 0.0000 0.0000 0.0000  2 Sn 2.69, 2 Zn 2.93
Zn2 0.0000 0.5000 0.0000  2 Sn 2.69, 2 Zn 2.93
Zn3 0.2500 0.2500 0.7500  2 Sn 2.69, 2 Zn 2.93
Zn4 0.2500 0.7500 0.2500  2 Sn 2.69, 2 Zn 2.93
Zn5 0.5000 0.0000 0.5000  2 Sn 2.69, 2 Zn 2.93
Zn6 0.5000 0.5000 0.5000  2 Sn 2.69, 2 Zn 2.93
Zn7 0.7500 0.2500 0.7500  2 Sn 2.69, 2 Zn 2.93
Zn8 0.7500 0.7500 0.2500  2 Sn 2.69, 2 Zn 2.93
Sn1 0.0000 0.2500 0.8750  4 Zn 2.69
Sn2 0.0000 0.7500 0.1250  4 Zn 2.69
Sn3 0.5000 0.2500 0.6250  4 Zn 2.69
Sn4 0.5000 0.7500 0.3750  4 Zn 2.69

Properties
Energy relative to the elements (eV per atom): 0.075

Computed, not measured: a geometry-optimized VHRu2W structure at the PBE level of DFT.

Cell lengths 3.9195, 3.9195, 3.8647 Å; angles 90.00, 90.00, 90.00 degrees
Last column: nearest neighbours and their distance in Å.
Atoms (fractional coordinates):
V1 0.0000 0.0000 0.0000  2 H 1.93
H1 0.0000 0.0000 0.5000  2 V 1.93, 4 Ru 1.96
Ru1 0.0000 0.5000 0.5000  2 H 1.96
Ru2 0.5000 0.0000 0.5000  2 H 1.96
W1 0.5000 0.5000 0.0000  8 Ru 2.75, 4 V 2.77

Properties
ΔE to the lowest computed polymorph (kJ/mol of formula units): 0

Computed, not measured: a geometry-optimized Pm2Sm5DyTm structure at the PBE level of DFT.

Cell lengths 10.1853, 10.1853, 10.1853 Å; angles 129.97, 129.97, 73.45 degrees
Last column: nearest neighbours and their distance in Å.
Atoms (fractional coordinates):
Pm1 0.1199 0.6199 0.7399  1 Pm 2.92, 2 Sm 3.07
Pm2 0.3801 0.1199 0.5000  1 Pm 2.92, 2 Sm 3.07
Pm3 0.6199 0.8801 0.5000  1 Pm 2.92, 2 Sm 3.07
Pm4 0.8801 0.3801 0.2601  1 Pm 2.92, 2 Sm 3.07
Sm1 0.0000 0.0000 0.0000  4 Pm 3.43
Sm2 0.0732 0.1431 0.5000  1 Pm 3.07, 1 Tm 3.16
Sm3 0.1431 0.6431 0.0699  1 Pm 3.07, 1 Tm 3.16
Sm4 0.3569 0.4268 0.5000  1 Pm 3.07, 1 Tm 3.16
Sm5 0.4268 0.9268 0.0699  1 Pm 3.07, 1 Tm 3.16
Sm6 0.5000 0.5000 0.0000  4 Pm 3.43
Sm7 0.5732 0.0732 0.9301  1 Pm 3.07, 1 Tm 3.16
Sm8 0.6431 0.5732 0.5000  1 Pm 3.07, 1 Tm 3.16
Sm9 0.8569 0.3569 0.9301  1 Pm 3.07, 1 Tm 3.16
Sm10 0.9268 0.8569 0.5000  1 Pm 3.07, 1 Tm 3.16
Dy1 0.2500 0.2500 0.0000  8 Sm 3.55
Dy2 0.7500 0.7500 0.0000  8 Sm 3.55
Tm1 0.2500 0.7500 0.5000  4 Sm 3.16
Tm2 0.7500 0.2500 0.5000  4 Sm 3.16

Properties
Energy relative to the elements (eV per atom): 0.282

Computed, not measured: a geometry-optimized PAuO2 structure at the PBE level of DFT.

Cell lengths 5.5204, 5.5204, 5.5204 Å; angles 60.00, 60.00, 60.00 degrees
Last column: nearest neighbours and their distance in Å.
Atoms (fractional coordinates):
P1 0.1250 0.1250 0.1250  4 O 1.69
P2 0.8750 0.8750 0.8750  4 O 1.69
Au1 0.3750 0.3750 0.3750  12 O 3.24, 4 Au 3.38, 4 P 3.38
Au2 0.6250 0.6250 0.6250  12 O 3.24, 4 Au 3.38, 4 P 3.38
O1 0.0000 0.0000 0.0000  2 P 1.69
O2 0.0000 0.0000 0.5000  2 P 1.69
O3 0.0000 0.5000 0.0000  2 P 1.69
O4 0.5000 0.0000 0.0000  2 P 1.69

Properties
Formation energy without anion corrections (kJ/mol of formula units): -146.6

Computed, not measured: a geometry-optimized YH2O structure at the PBE level of DFT.

Cell lengths 5.2118, 5.2118, 5.2118 Å; angles 90.00, 90.00, 90.00 degrees
Last column: nearest neighbours and their distance in Å.
Atoms (fractional coordinates):
Y1 0.0000 0.0000 0.0000  8 H 2.26
Y2 0.0000 0.5000 0.5000  8 H 2.26
Y3 0.5000 0.0000 0.5000  8 H 2.26
Y4 0.5000 0.5000 0.0000  8 H 2.26
H1 0.2500 0.2500 0.2500  4 O 2.26, 4 Y 2.26
H2 0.2500 0.2500 0.7500  4 O 2.26, 4 Y 2.26
H3 0.2500 0.7500 0.2500  4 O 2.26, 4 Y 2.26
H4 0.2500 0.7500 0.7500  4 O 2.26, 4 Y 2.26
H5 0.7500 0.2500 0.2500  4 O 2.26, 4 Y 2.26
H6 0.7500 0.2500 0.7500  4 O 2.26, 4 Y 2.26
H7 0.7500 0.7500 0.2500  4 O 2.26, 4 Y 2.26
H8 0.7500 0.7500 0.7500  4 O 2.26, 4 Y 2.26
O1 0.0000 0.0000 0.5000  8 H 2.26
O2 0.0000 0.5000 0.0000  8 H 2.26
O3 0.5000 0.0000 0.0000  8 H 2.26
O4 0.5000 0.5000 0.5000  8 H 2.26

Properties
ΔE to the lowest computed polymorph (kJ/mol of formula units): 263

Computed, not measured: a geometry-optimized Tb3Nd2Ho6Er structure at the PBE level of DFT.

Cell lengths 6.1611, 6.1611, 11.7731 Å; angles 94.98, 94.98, 119.96 degrees
Last column: nearest neighbours and their distance in Å.
Atoms (fractional coordinates):
Tb1 0.0000 0.0000 0.0000  6 Ho 3.54, 6 Tb 3.56
Tb2 0.3335 0.6665 0.0000  6 Ho 3.53-3.54, 6 Tb 3.55-3.56
Tb3 0.6665 0.3335 0.0000  6 Ho 3.53-3.54, 6 Tb 3.55-3.56
Nd1 0.1665 0.8335 0.5000  3 Nd 3.55-3.56, 3 Er 3.56, 6 Ho 3.57
Nd2 0.8335 0.1665 0.5000  3 Nd 3.55-3.56, 3 Er 3.56, 6 Ho 3.57
Ho1 0.0834 0.4159 0.2483  3 Tb 3.53-3.54, 6 Ho 3.55-3.56, 1 Er 3.57, 2 Nd 3.57
Ho2 0.2518 0.2518 0.7520  3 Tb 3.53-3.54, 6 Ho 3.55-3.56, 1 Er 3.57, 2 Nd 3.57
Ho3 0.4159 0.0834 0.2483  3 Tb 3.53-3.54, 6 Ho 3.55-3.56, 1 Er 3.57, 2 Nd 3.57
Ho4 0.5841 0.9166 0.7517  3 Tb 3.53-3.54, 6 Ho 3.55-3.56, 1 Er 3.57, 2 Nd 3.57
Ho5 0.7482 0.7482 0.2480  3 Tb 3.53-3.54, 6 Ho 3.55-3.56, 1 Er 3.57, 2 Nd 3.57
Ho6 0.9166 0.5841 0.7517  3 Tb 3.53-3.54, 6 Ho 3.55-3.56, 1 Er 3.57, 2 Nd 3.57
Er1 0.5000 0.5000 0.5000  6 Nd 3.56, 6 Ho 3.57

Properties
Energy relative to the elements (eV per atom): 0.016

Computed, not measured: a geometry-optimized SrSnBr3 structure at the PBE level of DFT.

Cell lengths 5.8299, 5.8299, 5.8299 Å; angles 90.00, 90.00, 90.00 degrees
Last column: nearest neighbours and their distance in Å.
Atoms (fractional coordinates):
Sr1 0.0000 0.0000 0.0000  12 Br 4.12
Sn1 0.5000 0.5000 0.5000  6 Br 2.91
Br1 0.0000 0.5000 0.5000  2 Sn 2.91
Br2 0.5000 0.0000 0.5000  2 Sn 2.91
Br3 0.5000 0.5000 0.0000  2 Sn 2.91

Properties
Formation energy without anion corrections (kJ/mol of formula units): -402.1

Computed, not measured: a geometry-optimized MnCuGeAu structure at the PBE level of DFT.

Cell lengths 6.2593, 6.2593, 6.2593 Å; angles 90.00, 90.00, 90.00 degrees
Last column: nearest neighbours and their distance in Å.
Atoms (fractional coordinates):
Mn1 0.0000 0.0000 0.0000  4 Ge 2.71, 4 Au 2.71
Mn2 0.0000 0.5000 0.5000  4 Ge 2.71, 4 Au 2.71
Mn3 0.5000 0.0000 0.5000  4 Ge 2.71, 4 Au 2.71
Mn4 0.5000 0.5000 0.0000  4 Ge 2.71, 4 Au 2.71
Cu1 0.0000 0.0000 0.5000  4 Ge 2.71, 4 Au 2.71
Cu2 0.0000 0.5000 0.0000  4 Ge 2.71, 4 Au 2.71
Cu3 0.5000 0.0000 0.0000  4 Ge 2.71, 4 Au 2.71
Cu4 0.5000 0.5000 0.5000  4 Ge 2.71, 4 Au 2.71
Ge1 0.2500 0.2500 0.2500  4 Mn 2.71, 4 Cu 2.71
Ge2 0.2500 0.7500 0.7500  4 Mn 2.71, 4 Cu 2.71
Ge3 0.7500 0.2500 0.7500  4 Mn 2.71, 4 Cu 2.71
Ge4 0.7500 0.7500 0.2500  4 Mn 2.71, 4 Cu 2.71
Au1 0.2500 0.2500 0.7500  4 Mn 2.71, 4 Cu 2.71
Au2 0.2500 0.7500 0.2500  4 Mn 2.71, 4 Cu 2.71
Au3 0.7500 0.2500 0.2500  4 Mn 2.71, 4 Cu 2.71
Au4 0.7500 0.7500 0.7500  4 Mn 2.71, 4 Cu 2.71

Properties
Energy relative to the elements (eV per atom): 0.041
ΔE to the lowest computed polymorph (kJ/mol of formula units): 9

| no. | density of states at the Fermi level (states/eV/atom) |
| --- | --- |
| 1 | 0.4060 |
| 2 | 1.2526 |
| 3 | 1.4843 |
| 4 | 0.1643 |
| 5 | 0.6632 |
| 6 | 1.2512 |
| 7 | 0.7570 |
| 8 | 0.1742 |